Record 1
# Ac2PrAgSe5

A geometry-optimized Ac2PrAgSe5 structure (GGA-PBE, Alexandria).

a b c (Å): 9.3727 9.3727 12.9128
angles (deg): 90.00 90.00 153.18
With the nearest neighbours (Å) after each atom.
Sites, in units of the cell vectors:
Ac1 0.1115 0.8885 0.5000  8 Se 3.19-3.35
Ac2 0.1231 0.8769 0.1241  8 Se 3.14-3.40
Ac3 0.8769 0.1231 0.6241  8 Se 3.14-3.40
Ac4 0.8885 0.1115 0.0000  8 Se 3.19-3.35
Pr1 0.1946 0.8054 0.8227  6 Se 2.87-3.02
Pr2 0.8054 0.1946 0.3227  6 Se 2.87-3.02
Ag1 0.4462 0.5538 0.2745  4 Se 2.61-2.92
Ag2 0.5538 0.4462 0.7745  4 Se 2.61-2.92
Se1 0.0440 0.9560 0.8872  2 Ag 2.62, 1 Pr 2.87
Se2 0.2896 0.7104 0.4839  2 Pr 3.02, 3 Ac 3.25-3.26
Se3 0.3078 0.6922 0.1612  1 Ag 2.92, 2 Pr 3.01
Se4 0.3594 0.6406 0.8164  1 Pr 3.01, 4 Ac 3.26-3.32
Se5 0.4988 0.5012 0.5876  1 Ag 2.61
Se6 0.5012 0.4988 0.0876  1 Ag 2.61
Se7 0.6406 0.3594 0.3164  1 Pr 3.01, 4 Ac 3.26-3.32
Se8 0.6922 0.3078 0.6612  1 Ag 2.92, 2 Pr 3.01
Se9 0.7104 0.2896 0.9839  2 Pr 3.02, 3 Ac 3.25-3.26
Se10 0.9560 0.0440 0.3872  2 Ag 2.62, 1 Pr 2.87

Results
total moment	0.0	μB per formula unit
V	28.4	A^3/atom
energy relative to the elements, uncorrected	-1665	meV/atom

***

Record 2
# AcPrSmAg

A geometry-optimized AcPrSmAg structure (GGA-PBE, Alexandria).

a b c (Å): 5.6721 5.6721 5.6721
angles (deg): 60.00 60.00 60.00
With the nearest neighbours (Å) after each atom.
Sites, in units of the cell vectors:
Ac1 0.0000 0.0000 0.0000  4 Sm 3.47, 4 Pr 3.47
Pr1 0.2500 0.2500 0.2500  4 Ag 3.47, 4 Ac 3.47
Sm1 0.7500 0.7500 0.7500  4 Ag 3.47, 4 Ac 3.47
Ag1 0.5000 0.5000 0.5000  4 Pr 3.47, 4 Sm 3.47

Results
formation energy	0.15	eV per atom
total moment	0.0	μB per formula unit
V	32.3	A^3/atom

***

Record 3
# AcPrSmAg

A geometry-optimized AcPrSmAg structure (GGA-PBE, Alexandria).

a b c (Å): 3.8125 3.8125 8.9576
angles (deg): 90.00 90.00 90.00
With the nearest neighbours (Å) after each atom.
Sites, in units of the cell vectors:
Ac1 0.0000 0.0000 0.0000  4 Sm 3.77, 4 Pr 3.81, 4 Ac 3.81
Pr1 0.5000 0.5000 0.6997  4 Ag 3.30, 1 Sm 3.64
Sm1 0.5000 0.5000 0.2935  4 Ag 3.21
Ag1 0.0000 0.0000 0.4875  4 Sm 3.21, 4 Pr 3.30

Results
formation energy	-0.10	eV per atom
total moment	0.0	μB per formula unit
V	32.6	A^3/atom

***

Record 4
# AcPr2Ag2Sn2

A geometry-optimized AcPr2Ag2Sn2 structure (GGA-PBE, Alexandria).

a b c (Å): 10.1074 10.1074 10.1074
angles (deg): 28.16 28.16 28.16
With the nearest neighbours (Å) after each atom.
Sites, in units of the cell vectors:
Ac1 0.0000 0.0000 0.0000  6 Sn 3.56, 6 Ag 3.71, 2 Pr 3.84
Pr1 0.1318 0.1318 0.1318  3 Ag 3.19, 3 Sn 3.30, 3 Pr 3.49
Pr2 0.8682 0.8682 0.8682  3 Ag 3.19, 3 Sn 3.30, 3 Pr 3.49
Ag1 0.4152 0.4152 0.4152  3 Sn 2.85, 3 Pr 3.19
Ag2 0.5848 0.5848 0.5848  3 Sn 2.85, 3 Pr 3.19
Sn1 0.2596 0.2596 0.2596  3 Ag 2.85
Sn2 0.7404 0.7404 0.7404  3 Ag 2.85

Results
formation energy	-0.45	eV per atom
total moment	0.0	μB per formula unit
V	29.0	A^3/atom

***

Record 5
# Ac2PrAg3Sn4

A geometry-optimized Ac2PrAg3Sn4 structure (GGA-PBE, Alexandria).

a b c (Å): 4.7890 4.7890 12.4666
angles (deg): 90.00 90.00 90.00
With the nearest neighbours (Å) after each atom.
Sites, in units of the cell vectors:
Ac1 0.0000 0.5000 0.2277  4 Ag 3.62, 8 Sn 3.68-3.71
Ac2 0.5000 0.0000 0.7723  4 Ag 3.62, 8 Sn 3.68-3.71
Pr1 0.0000 0.0000 0.5000  4 Sn 3.08, 4 Ag 3.39
Ag1 0.0000 0.5000 0.8741  5 Sn 2.72-2.86
Ag2 0.5000 0.0000 0.1259  5 Sn 2.72-2.86
Ag3 0.5000 0.5000 0.5000  4 Sn 3.08, 4 Pr 3.39
Sn1 0.0000 0.0000 0.0000  4 Ag 2.86
Sn2 0.0000 0.5000 0.6558  1 Ag 2.72
Sn3 0.5000 0.0000 0.3442  1 Ag 2.72
Sn4 0.5000 0.5000 0.0000  4 Ag 2.86

Results
formation energy	-0.47	eV per atom
total moment	0.0	μB per formula unit
V	28.6	A^3/atom

***

Record 6
# AcPrAg2Te4

A geometry-optimized AcPrAg2Te4 structure (GGA-PBE, Alexandria).

a b c (Å): 7.0256 7.0256 7.0256
angles (deg): 113.49 111.43 103.66
With the nearest neighbours (Å) after each atom.
Sites, in units of the cell vectors:
Ac1 0.0000 0.0000 0.0000  8 Te 3.40-3.67
Pr1 0.5000 0.5000 0.0000  4 Te 3.14
Ag1 0.3365 0.8365 0.5000  4 Te 2.75-3.04, 1 Ag 2.84
Ag2 0.6635 0.1635 0.5000  4 Te 2.75-3.04, 1 Ag 2.84
Te1 0.0660 0.0594 0.5286  2 Ag 2.75-3.04
Te2 0.4691 0.9406 0.0066  2 Ag 2.75-3.04
Te3 0.5309 0.5374 0.4714  2 Ag 2.75-3.04
Te4 0.9340 0.4626 0.9934  2 Ag 2.75-3.04

Results
total moment	0.0	μB per formula unit
V	33.1	A^3/atom
energy relative to the elements, uncorrected	-843	meV/atom

***

Record 7
# AcPr2AgTe5

A geometry-optimized AcPr2AgTe5 structure (GGA-PBE, Alexandria).

a b c (Å): 9.8873 9.8873 9.8873
angles (deg): 128.17 128.17 76.34
With the nearest neighbours (Å) after each atom.
Sites, in units of the cell vectors:
Ac1 0.2500 0.2500 0.0000  10 Te 3.64-3.89
Ac2 0.7500 0.7500 0.0000  10 Te 3.64-3.89
Pr1 0.1489 0.6489 0.7979  4 Te 3.09-3.30
Pr2 0.3511 0.1489 0.5000  4 Te 3.09-3.30
Pr3 0.6489 0.8511 0.5000  4 Te 3.09-3.30
Pr4 0.8511 0.3511 0.2021  4 Te 3.09-3.30
Ag1 0.2500 0.7500 0.5000  4 Te 2.71
Ag2 0.7500 0.2500 0.5000  4 Te 2.71
Te1 0.0000 0.0000 0.0000  4 Pr 3.30
Te2 0.0318 0.1896 0.5000  1 Ag 2.71
Te3 0.1896 0.6896 0.1578  1 Ag 2.71
Te4 0.3104 0.4682 0.5000  1 Ag 2.71
Te5 0.4682 0.9682 0.1578  1 Ag 2.71
Te6 0.5000 0.5000 0.0000  4 Pr 3.30
Te7 0.5318 0.0318 0.8422  1 Ag 2.71
Te8 0.6896 0.5318 0.5000  1 Ag 2.71
Te9 0.8104 0.3104 0.8422  1 Ag 2.71
Te10 0.9682 0.8104 0.5000  1 Ag 2.71

Results
total moment	0.0	μB per formula unit
V	32.2	A^3/atom
energy relative to the elements, uncorrected	-1172	meV/atom

***

Record 8
# Ac2PrAgTe5

A geometry-optimized Ac2PrAgTe5 structure (GGA-PBE, Alexandria).

a b c (Å): 10.0851 10.0851 13.6650
angles (deg): 90.00 90.00 153.71
With the nearest neighbours (Å) after each atom.
Sites, in units of the cell vectors:
Ac1 0.1114 0.8886 0.5000  8 Te 3.41-3.52
Ac2 0.1234 0.8766 0.1231  8 Te 3.36-3.65
Ac3 0.8766 0.1234 0.6231  8 Te 3.36-3.65
Ac4 0.8886 0.1114 0.0000  8 Te 3.41-3.52
Pr1 0.1930 0.8070 0.8231  6 Te 3.07-3.25
Pr2 0.8070 0.1930 0.3231  6 Te 3.07-3.25
Ag1 0.4334 0.5666 0.2719  4 Te 2.79-2.92
Ag2 0.5666 0.4334 0.7719  4 Te 2.79-2.92
Te1 0.0427 0.9573 0.8832  2 Ag 2.79, 1 Pr 3.07
Te2 0.2885 0.7115 0.4850  2 Pr 3.21, 3 Ac 3.44-3.49
Te3 0.3077 0.6923 0.1574  1 Ag 2.92, 2 Pr 3.22
Te4 0.3584 0.6416 0.8148  1 Pr 3.25, 4 Ac 3.47-3.50
Te5 0.4995 0.5005 0.5908  1 Ag 2.80
Te6 0.5005 0.4995 0.0908  1 Ag 2.80
Te7 0.6416 0.3584 0.3148  1 Pr 3.25, 4 Ac 3.47-3.50
Te8 0.6923 0.3077 0.6574  1 Ag 2.92, 2 Pr 3.22
Te9 0.7115 0.2885 0.9850  2 Pr 3.21, 3 Ac 3.44-3.49
Te10 0.9573 0.0427 0.3832  2 Ag 2.79, 1 Pr 3.07

Results
total moment	0.0	μB per formula unit
V	34.2	A^3/atom
energy relative to the elements, uncorrected	-1316	meV/atom

***

Record 9
# AcPrTlAg

A geometry-optimized AcPrTlAg structure (GGA-PBE, Alexandria).

a b c (Å): 3.8891 3.8891 8.1763
angles (deg): 90.00 90.00 90.00
With the nearest neighbours (Å) after each atom.
Sites, in units of the cell vectors:
Ac1 0.0000 0.0000 0.0000  4 Ag 3.46, 4 Tl 3.57
Pr1 0.0000 0.0000 0.5250  4 Ag 3.28, 4 Tl 3.41
Tl1 0.5000 0.5000 0.2788  4 Pr 3.41, 4 Ac 3.57, 1 Ag 3.80
Ag1 0.5000 0.5000 0.7431  4 Pr 3.28, 4 Ac 3.46

Results
formation energy	-0.30	eV per atom
total moment	0.3	μB per formula unit
V	30.9	A^3/atom

***

Record 10
# AcPrTlAg

A geometry-optimized AcPrTlAg structure (GGA-PBE, Alexandria).

a b c (Å): 5.6098 5.6098 5.6098
angles (deg): 60.00 60.00 60.00
With the nearest neighbours (Å) after each atom.
Sites, in units of the cell vectors:
Ac1 0.0000 0.0000 0.0000  4 Tl 3.44, 4 Ag 3.44
Pr1 0.5000 0.5000 0.5000  4 Tl 3.44, 4 Ag 3.44
Tl1 0.7500 0.7500 0.7500  4 Ac 3.44, 4 Pr 3.44
Ag1 0.2500 0.2500 0.2500  4 Ac 3.44, 4 Pr 3.44

Results
formation energy	-0.30	eV per atom
total moment	0.3	μB per formula unit
V	31.2	A^3/atom

***

Record 11
# AcPrTmAg

A geometry-optimized AcPrTmAg structure (GGA-PBE, Alexandria).

a b c (Å): 5.6211 5.6211 5.6211
angles (deg): 60.00 60.00 60.00
With the nearest neighbours (Å) after each atom.
Sites, in units of the cell vectors:
Ac1 0.0000 0.0000 0.0000  4 Pr 3.44, 4 Tm 3.44
Pr1 0.2500 0.2500 0.2500  4 Ag 3.44, 4 Ac 3.44
Tm1 0.7500 0.7500 0.7500  4 Ag 3.44, 4 Ac 3.44
Ag1 0.5000 0.5000 0.5000  4 Pr 3.44, 4 Tm 3.44

Results
formation energy	0.18	eV per atom
total moment	0.0	μB per formula unit
V	31.4	A^3/atom